DFT (GGA-PBE) results for an optimized crystal structure of Er2Ga2SnPd5.

Lattice parameters (Å, degrees): 3.744 9.906 9.906 90.00 90.00 90.00
Element x y z (fractional)
Pd  0.500  0.939  0.210
Ga  0.000  0.120  0.620
Er  0.000  0.323  0.823
Pd  0.500  0.000  0.500
Ga  0.000  0.380  0.120
Pd  0.500  0.790  0.939
Sn  0.000  0.000  0.000
Pd  0.500  0.710  0.439
Ga  0.000  0.880  0.380
Pd  0.500  0.500  0.000
Pd  0.500  0.061  0.790
Er  0.000  0.177  0.323
Pd  0.500  0.290  0.561
Er  0.000  0.823  0.677
Pd  0.500  0.439  0.290
Pd  0.500  0.561  0.710
Er  0.000  0.677  0.177
Sn  0.000  0.500  0.500
Ga  0.000  0.620  0.880
Pd  0.500  0.210  0.061

Results
Density, g/cm3: 10.169

DFT (GGA-PBE) results for an optimized crystal structure of LiURuRh.

Lattice parameters (Å, degrees): 4.515 4.515 4.515 60.00 60.00 60.00
Each line ends with the local moment (μB).
Element x y z (fractional)
Li  0.500  0.500  0.500  0.01
U  0.000  0.000  0.000  1.71
Ru  0.750  0.750  0.750  -0.13
Rh  0.250  0.250  0.250  -0.06

Results
Density, g/cm3: 11.452

DFT (GGA-PBE) results for an optimized crystal structure of TbAgC.

Lattice parameters (Å, degrees): 3.428 3.428 9.693 100.19 100.19 90.00
Element x y z (fractional)
C  0.500  0.000  0.000
Ag  0.291  0.291  0.582
Tb  0.908  0.908  0.817
C  0.000  0.500  0.000
Tb  0.092  0.092  0.183
Ag  0.709  0.709  0.418

Results
Density, g/cm3: 8.395

DFT (GGA-PBE) results for an optimized crystal structure of Zn3C.

Lattice parameters (Å, degrees): 7.154 7.154 2.618 90.00 90.00 119.90
Element x y z (fractional)
C  0.667  0.333  0.750
Zn  0.387  0.194  0.250
Zn  0.194  0.387  0.750
Zn  0.613  0.806  0.750
Zn  0.193  0.807  0.750
Zn  0.807  0.193  0.250
C  0.333  0.667  0.250
Zn  0.806  0.613  0.250

Results
Density, g/cm3: 5.954

DFT (GGA-PBE) results for an optimized crystal structure of CaAc2Ga4Pt3.

Lattice parameters (Å, degrees): 4.423 4.423 11.536 90.00 90.00 90.00
Element x y z (fractional)
Pt  0.000  0.000  0.500
Ac  0.000  0.500  0.774
Ca  0.500  0.500  0.500
Ga  0.500  0.500  0.000
Pt  0.000  0.500  0.120
Ga  0.500  0.000  0.661
Ga  0.000  0.000  0.000
Pt  0.500  0.000  0.880
Ga  0.000  0.500  0.339
Ac  0.500  0.000  0.226

Results
Density, g/cm3: 9.995

DFT (GGA-PBE) results for an optimized crystal structure of Li3PbAu.

Lattice parameters (Å, degrees): 4.830 4.830 4.830 90.00 90.00 90.00
Element x y z (fractional)
Li  0.000  0.000  0.500
Li  0.500  0.000  0.000
Au  0.000  0.000  0.000
Pb  0.500  0.500  0.500
Li  0.000  0.500  0.000

Results
Density, g/cm3: 6.262

DFT (GGA-PBE) results for an optimized crystal structure of LiZrCr.

Lattice parameters (Å, degrees): 2.770 2.770 7.723 90.00 90.00 120.00
Each line ends with the local moment (μB).
Element x y z (fractional)
Cr  0.000  0.000  0.008  0.61
Zr  0.333  0.667  0.681  -0.01
Li  0.667  0.333  0.311  0.01

Results
Density, g/cm3: 4.859

DFT (GGA-PBE) results for an optimized crystal structure of NdDyTm2Sb4.

Lattice parameters (Å, degrees): 4.402 7.611 7.617 70.50 90.00 90.00
Element x y z (fractional)
Nd  0.500  0.500  0.000
Tm  0.000  0.000  0.000
Sb  0.500  0.244  0.748
Sb  0.000  0.241  0.257
Sb  0.000  0.759  0.743
Tm  0.500  0.000  0.500
Dy  0.000  0.500  0.500
Sb  0.500  0.756  0.252

Results
E_form (uncorrected), eV/atom: -1.11
Density, g/cm3: 7.811

DFT (GGA-PBE) results for an optimized crystal structure of Cd2PW.

Lattice parameters (Å, degrees): 4.613 4.613 5.834 66.28 66.28 42.23
Element x y z (fractional)
Cd  0.791  0.791  0.740
Cd  0.989  0.989  0.002
P  0.513  0.513  0.368
W  0.207  0.207  0.390

Results
Density, g/cm3: 9.697

DFT (GGA-PBE) results for an optimized crystal structure of AgPH3.

Lattice parameters (Å, degrees): 4.111 6.336 4.523 84.95 90.00 89.98
Element x y z (fractional)
H  0.225  0.203  0.855
P  0.724  0.917  0.292
H  0.476  0.908  0.538
Ag  0.725  0.506  0.164
H  0.977  0.444  0.561
Ag  0.224  0.847  0.934
H  0.972  0.908  0.538
P  0.225  0.436  0.807
H  0.473  0.444  0.561
H  0.724  0.150  0.243

Results
Density, g/cm3: 4.015

DFT (GGA-PBE) results for an optimized crystal structure of CsGePt.

Lattice parameters (Å, degrees): 4.139 4.139 12.376 99.63 99.63 90.00
Element x y z (fractional)
Pt  0.000  0.500  0.000
Pt  0.500  0.000  0.000
Cs  0.354  0.354  0.709
Cs  0.646  0.646  0.291
Ge  0.063  0.063  0.127
Ge  0.937  0.937  0.873

Results
Density, g/cm3: 6.457

DFT (GGA-PBE) results for an optimized crystal structure of AgHg2Au.

Lattice parameters (Å, degrees): 3.082 4.439 5.980 90.00 90.00 90.00
Element x y z (fractional)
Hg  0.500  0.500  0.262
Hg  0.000  0.000  0.989
Au  0.500  0.500  0.745
Ag  0.000  0.000  0.504

Results
Density, g/cm3: 14.328

DFT (GGA-PBE) results for an optimized crystal structure of LaTb2SmSc.

Lattice parameters (Å, degrees): 7.147 8.306 7.060 126.03 90.00 90.00
Element x y z (fractional)
Sm  0.250  0.731  0.462
Tb  0.500  0.698  0.000
Tb  0.500  0.302  0.000
Tb  0.000  0.302  0.000
Tb  0.000  0.698  0.000
La  0.750  0.737  0.474
Sm  0.750  0.269  0.538
La  0.250  0.263  0.526
Sc  0.250  0.998  0.997
Sc  0.750  0.002  0.003

Results
Density, g/cm3: 6.389

DFT (GGA-PBE) results for an optimized crystal structure of LiErRu.

Lattice parameters (Å, degrees): 5.613 5.616 4.516 113.79 113.81 101.52
Element x y z (fractional)
Er  0.368  0.132  0.750
Ru  0.000  0.000  0.000
Ru  0.500  0.500  0.500
Er  0.632  0.868  0.250
Li  0.022  0.478  0.750
Li  0.978  0.522  0.250

Results
Density, g/cm3: 8.511

DFT (GGA-PBE) results for an optimized crystal structure of CaPuIn.

Lattice parameters (Å, degrees): 3.442 3.442 7.831 102.70 102.70 90.00
Each line ends with the local moment (μB).
Element x y z (fractional)
Ca  0.631  0.631  0.261  0.07
Pu  0.936  0.936  0.871  5.72
In  0.284  0.284  0.568  -0.01

Results
Density, g/cm3: 7.511

| no. | total energy (eV/atom) |
| --- | --- |
| 1 | -5.267 |
| 2 | -7.730 |
| 3 | -5.119 |
| 4 | -2.472 |
| 5 | -4.863 |
| 6 | -2.740 |
| 7 | -6.083 |
| 8 | -5.458 |
| 9 | -4.750 |
| 10 | -3.444 |
| 11 | -4.138 |
| 12 | -1.594 |
| 13 | -4.739 |
| 14 | -5.354 |
| 15 | -6.419 |